MgAl3Rh: relaxed, PBE.

The structure in extended XYZ format:
```
20
Lattice="8.423 0.000 0.000 0.000 3.801 0.000 0.000 0.000 10.896" Properties=species:S:1:pos:R:3 pbc="T T T"
Mg 1.339 0.950 0.115
Mg 2.873 2.850 5.563
Mg 5.550 0.950 5.333
Mg 7.084 2.850 10.781
Al 0.342 0.950 4.510
Al 0.552 2.850 2.358
Al 1.560 2.850 8.529
Al 2.651 0.950 3.081
Al 3.659 0.950 7.806
Al 3.870 2.850 9.958
Al 4.553 0.950 0.938
Al 4.763 2.850 3.090
Al 5.772 2.850 7.815
Al 6.862 0.950 2.367
Al 7.871 0.950 8.538
Al 8.081 2.850 6.386
Rh 1.327 0.950 6.872
Rh 2.884 2.850 1.424
Rh 5.539 0.950 9.472
Rh 7.095 2.850 4.024
```

Summary:
For the formation energy, the calculation gives -0.46 eV/atom. As for the polymorph energy (0 for the lowest one): 0 meV/atom. Its space group is No. 62.

---

BeNi2Rh: relaxed, PBE.

The structure in extended XYZ format:
```
4
Lattice="4.110 0.000 0.000 0.000 4.110 0.000 0.000 0.000 2.705" Properties=species:S:1:pos:R:3 pbc="T T T"
Be 0.000 0.000 0.000
Ni 0.000 2.055 1.353
Ni 2.055 0.000 1.353
Rh 2.055 2.055 0.000
```

Summary:
For the formation energy, the calculation gives -0.02 eV/atom. Its space group is No. 123.

---

Ac6Te3AuSe2: relaxed, PBE.

The structure in extended XYZ format:
```
12
Lattice="3.992 -6.900 0.000 3.992 6.900 0.000 -2.656 0.000 7.689" Properties=species:S:1:pos:R:3 pbc="T T T"
Ac 1.313 2.272 1.761
Ac -0.026 0.000 5.912
Ac 1.313 -2.272 1.761
Ac 4.016 2.272 5.928
Ac 5.354 0.000 1.777
Ac 4.016 -2.272 5.928
Te 2.664 4.548 3.845
Te 2.664 0.000 3.845
Te 2.664 -4.548 3.845
Au 0.000 0.000 0.000
Se 3.992 2.288 0.000
Se 3.992 -2.288 0.000
```

Summary:
The calculation puts the uncorrected formation energy at -1.510 eV per atom. Its space group is No. 12.

---

Hg2WAu: relaxed, PBE.

The structure in extended XYZ format:
```
4
Lattice="2.883 0.000 0.000 0.000 4.836 0.000 -0.328 0.000 5.507" Properties=species:S:1:pos:R:3 pbc="T T T"
Hg 0.531 0.000 1.334
Hg 2.023 0.000 4.172
W 1.441 2.418 0.000
Au -0.164 2.418 2.753
```

Summary:
For the formation energy, the calculation gives 0.70 eV/atom. As for the polymorph energy (0 for the lowest one): 213 meV/atom. Its space group is No. 10.

---

Be2NbInTc: relaxed, PBE.

The structure in extended XYZ format:
```
5
Lattice="4.266 0.000 0.000 0.000 4.266 0.000 0.000 0.000 5.231" Properties=species:S:1:pos:R:3 pbc="T T T"
Be 0.000 2.133 0.000
Be 2.133 0.000 0.000
Nb 0.000 0.000 2.616
In 0.000 0.000 0.000
Tc 2.133 2.133 2.616
```

Summary:
For the formation energy, the calculation gives 1.64 eV/atom. Its space group is No. 123.

---

AlMo2Cl: relaxed, PBE.

The structure in extended XYZ format:
```
4
Lattice="3.293 0.000 0.000 0.000 3.293 0.000 0.000 0.000 6.643" Properties=species:S:1:pos:R:3 pbc="T T T"
Al 0.000 0.000 0.000
Mo 1.646 1.646 1.204
Mo 1.646 1.646 5.439
Cl 0.000 0.000 3.322
```

Summary:
The calculation puts the uncorrected formation energy at 0.349 eV per atom. As for the polymorph energy (0 for the lowest one): 312 meV/atom. Its space group is No. 123.

---

Te2IrI: relaxed, PBE.

The structure in extended XYZ format:
```
8
Lattice="6.716 0.000 0.000 -2.973 6.040 0.000 -2.988 -2.284 5.762" Properties=species:S:1:pos:R:3 pbc="T T T"
Te 0.000 0.000 0.000
Te -3.941 4.156 3.323
Te -1.991 1.315 4.818
Te 1.321 0.565 4.132
Ir -0.798 0.597 2.542
Ir -1.625 3.943 4.592
I -0.604 3.286 2.168
I 3.465 0.666 1.306
```

Summary:
The calculation puts the uncorrected formation energy at -0.060 eV per atom. As for the polymorph energy (0 for the lowest one): 121 meV/atom. Its space group is No. 1.

---

Sm3In5Te12: relaxed, PBE.

The structure in extended XYZ format:
```
80
Lattice="-8.943 8.943 8.943 8.943 -8.943 8.943 8.943 8.943 -8.943" Properties=species:S:1:pos:R:3 pbc="T T T"
Sm 4.471 2.236 0.000
Sm 8.943 4.471 -2.236
Sm 2.236 0.000 4.471
Sm 11.179 0.000 4.471
Sm 0.000 4.471 2.236
Sm 4.471 -2.236 8.943
Sm 4.471 11.179 0.000
Sm 8.943 4.471 6.707
Sm -2.236 8.943 4.471
Sm 6.707 8.943 4.471
Sm 0.000 4.471 11.179
Sm 4.471 6.707 8.943
In 0.000 0.000 0.000
In 4.471 4.471 -4.471
In 4.471 -4.471 4.471
In 8.943 0.000 0.000
In 13.414 2.236 0.000
In 8.943 -4.471 6.707
In 6.707 8.943 -4.471
In 6.707 0.000 4.471
In 4.471 6.707 0.000
In 8.943 4.471 2.236
In -4.471 4.471 4.471
In 0.000 8.943 0.000
In 0.000 0.000 8.943
In 4.471 4.471 4.471
In 0.000 4.471 6.707
In 4.471 2.236 8.943
In 2.236 8.943 4.471
In 2.236 0.000 13.414
In 0.000 13.414 2.236
In -4.471 6.707 8.943
Te 2.718 -0.374 1.173
Te 10.696 5.644 -4.845
Te 8.569 -1.173 2.718
Te 11.661 0.374 1.173
Te 10.696 -3.299 4.845
Te 13.788 -1.753 3.299
Te 1.173 2.718 -0.374
Te 12.242 4.098 -1.753
Te 5.644 4.845 -1.753
Te 7.770 2.718 0.374
Te -0.374 1.173 2.718
Te 4.845 -1.753 5.644
Te 8.569 7.770 -2.718
Te 4.845 1.753 3.299
Te 5.644 -4.845 10.696
Te 7.770 -2.718 8.569
Te 3.299 4.845 1.753
Te 10.116 6.225 0.374
Te 2.718 8.569 -1.173
Te 4.845 10.696 -3.299
Te 8.569 1.173 6.225
Te 10.696 3.299 4.098
Te 1.753 3.299 4.845
Te 2.718 0.374 7.770
Te 6.225 8.569 1.173
Te 7.190 5.644 4.098
Te -1.753 5.644 4.845
Te 0.374 7.770 2.718
Te 4.098 -1.753 12.242
Te 6.225 0.374 10.116
Te -1.173 2.718 8.569
Te 5.644 4.098 7.190
Te 1.173 11.661 0.374
Te 3.299 13.788 -1.753
Te 4.098 7.190 5.644
Te 0.374 1.173 11.661
Te 4.098 10.696 3.299
Te 9.317 7.770 6.225
Te 1.173 6.225 8.569
Te 3.299 4.098 10.696
Te -3.299 4.845 10.696
Te 7.770 6.225 9.317
Te -4.845 10.696 5.644
Te -1.753 12.242 4.098
Te -2.718 8.569 7.770
Te 0.374 10.116 6.225
Te -1.753 3.299 13.788
Te 6.225 9.317 7.770
```

Summary:
The calculation puts the uncorrected formation energy at -0.652 eV per atom. Its space group is No. 230.

---

BC2: relaxed, PBE.

The structure in extended XYZ format:
```
12
Lattice="2.555 0.000 0.000 0.000 7.930 0.000 0.000 0.000 3.780" Properties=species:S:1:pos:R:3 pbc="T T T"
B 0.000 0.660 0.000
B 0.000 5.926 3.776
B 1.277 2.003 1.886
B 1.277 7.269 1.890
C 0.000 2.086 0.825
C 0.000 3.332 3.740
C 0.000 4.564 0.954
C 0.000 7.235 0.861
C 1.277 0.695 2.752
C 1.277 3.366 2.844
C 1.277 4.597 1.849
C 1.277 5.843 2.715
```

Summary:
For the formation energy, the calculation gives 0.37 eV/atom. As for the polymorph energy (0 for the lowest one): 130 meV/atom. Its space group is No. 31.

---

Co2CuNi: relaxed, PBE.

The structure in extended XYZ format:
```
16
Lattice="5.648 0.000 0.000 0.000 5.648 0.000 0.000 0.000 5.648" Properties=species:S:1:pos:R:3 pbc="T T T"
Co 1.412 1.412 1.412
Co 1.412 1.412 4.236
Co 1.412 4.236 1.412
Co 1.412 4.236 4.236
Co 4.236 1.412 1.412
Co 4.236 1.412 4.236
Co 4.236 4.236 1.412
Co 4.236 4.236 4.236
Cu 0.000 0.000 0.000
Cu 0.000 2.824 2.824
Cu 2.824 0.000 2.824
Cu 2.824 2.824 0.000
Ni 0.000 0.000 2.824
Ni 0.000 2.824 0.000
Ni 2.824 0.000 0.000
Ni 2.824 2.824 2.824
```

Summary:
For the formation energy, the calculation gives 0.22 eV/atom. As for the polymorph energy (0 for the lowest one): 199 meV/atom. Its space group is No. 225.

---

Rb2ZnCdAu2: relaxed, PBE.

The structure in extended XYZ format:
```
12
Lattice="-3.823 7.122 3.477 3.823 -7.122 3.477 3.823 7.122 -3.477" Properties=species:S:1:pos:R:3 pbc="T T T"
Rb 1.743 2.523 0.000
Rb 1.743 -2.523 3.477
Rb 2.080 9.645 0.000
Rb 2.080 4.599 3.477
Zn 0.000 0.000 1.739
Zn 0.000 0.000 5.216
Cd 3.823 0.000 1.739
Cd 0.000 7.122 1.739
Au 5.895 0.991 0.000
Au 2.073 6.131 0.000
Au 1.750 0.991 3.477
Au -2.073 6.131 3.477
```

Summary:
For the formation energy, the calculation gives -0.23 eV/atom. Its space group is No. 72.

---

TmNpCu4: relaxed, PBE.

The structure in extended XYZ format:
```
6
Lattice="0.000 3.687 3.687 3.687 0.000 3.687 3.687 3.687 0.000" Properties=species:S:1:pos:R:3 pbc="T T T"
Tm 0.000 0.000 0.000
Np 1.843 1.843 1.843
Cu 4.612 2.762 2.762
Cu 2.762 4.612 2.762
Cu 2.762 2.762 4.612
Cu 4.612 4.612 4.612
```

Summary:
For the formation energy, the calculation gives 0.06 eV/atom. Its space group is No. 216.

---

YZnCl2: relaxed, PBE.

The structure in extended XYZ format:
```
8
Lattice="3.349 0.000 0.000 0.000 4.694 0.000 0.000 0.000 13.949" Properties=species:S:1:pos:R:3 pbc="T T T"
Y 0.000 0.000 0.000
Y 1.675 2.347 6.974
Zn 0.000 2.347 9.604
Zn 1.675 0.000 2.630
Cl 0.000 0.000 7.317
Cl 0.000 2.347 4.820
Cl 1.675 0.000 11.794
Cl 1.675 2.347 0.343
```

Summary:
The calculation puts the uncorrected formation energy at -1.133 eV per atom. As for the polymorph energy (0 for the lowest one): 82 meV/atom. Its space group is No. 44.

---

Pu3Al7Ge2: relaxed, PBE.

The structure in extended XYZ format:
```
12
Lattice="2.790 1.611 8.660 -2.790 1.611 8.660 0.000 -3.221 8.660" Properties=species:S:1:pos:R:3 pbc="T T T"
Pu 0.000 0.000 0.000
Pu 0.000 0.000 3.721
Pu 0.000 0.000 22.260
Al -1.429 -0.825 10.814
Al 0.000 -1.651 15.168
Al -1.429 0.825 15.168
Al 0.000 0.000 12.991
Al 1.429 -0.825 10.814
Al 0.000 1.651 10.814
Al 1.429 0.825 15.168
Ge 0.000 0.000 8.745
Ge 0.000 0.000 17.236
```

Summary:
For the formation energy, the calculation gives -0.25 eV/atom. Its space group is No. 166.

---

Y2SnPd2: relaxed, PBE.

The structure in extended XYZ format:
```
10
Lattice="5.489 0.000 0.000 0.000 5.489 0.000 0.000 0.000 8.072" Properties=species:S:1:pos:R:3 pbc="T T T"
Y 0.000 2.744 2.018
Y 0.000 2.744 6.054
Y 2.744 0.000 2.018
Y 2.744 0.000 6.054
Sn 0.000 0.000 0.000
Sn 2.744 2.744 4.036
Pd 0.000 0.000 2.780
Pd 0.000 0.000 5.291
Pd 2.744 2.744 1.255
Pd 2.744 2.744 6.816
```

Summary:
For the formation energy, the calculation gives -0.69 eV/atom. Its space group is No. 139.

---

Dy4CdPd5: relaxed, PBE.

The structure in extended XYZ format:
```
10
Lattice="3.501 0.000 0.000 0.000 3.501 0.000 0.000 0.000 16.939" Properties=species:S:1:pos:R:3 pbc="T T T"
Dy 0.000 0.000 1.765
Dy 0.000 0.000 5.305
Dy 0.000 0.000 11.634
Dy 0.000 0.000 15.174
Cd 0.000 0.000 8.470
Pd 1.750 1.750 0.000
Pd 1.750 1.750 3.544
Pd 1.750 1.750 6.936
Pd 1.750 1.750 10.004
Pd 1.750 1.750 13.395
```

Summary:
For the formation energy, the calculation gives -0.80 eV/atom. Its space group is No. 123.

---

LiCeLuIn: relaxed, PBE.

The structure in extended XYZ format:
```
16
Lattice="7.474 0.000 0.000 0.000 7.474 0.000 0.000 0.000 7.474" Properties=species:S:1:pos:R:3 pbc="T T T"
Li 0.000 0.000 0.000
Li 0.000 3.737 3.737
Li 3.737 0.000 3.737
Li 3.737 3.737 0.000
Ce 1.868 1.868 5.605
Ce 1.868 5.605 1.868
Ce 5.605 1.868 1.868
Ce 5.605 5.605 5.605
Lu 1.868 1.868 1.868
Lu 1.868 5.605 5.605
Lu 5.605 1.868 5.605
Lu 5.605 5.605 1.868
In 0.000 0.000 3.737
In 0.000 3.737 0.000
In 3.737 0.000 0.000
In 3.737 3.737 3.737
```

Summary:
For the formation energy, the calculation gives -0.14 eV/atom. Its space group is No. 216.

---

Al2TlCr: relaxed, PBE.

The structure in extended XYZ format:
```
12
Lattice="3.047 0.000 0.000 -1.523 2.638 0.000 0.000 0.000 27.420" Properties=species:S:1:pos:R:3 pbc="T T T"
Al 0.000 0.000 6.495
Al 0.000 0.000 20.925
Al 0.000 1.759 11.785
Al 0.000 1.759 24.775
Al 1.523 0.879 2.645
Al 1.523 0.879 15.635
Tl 0.000 0.000 0.000
Tl 0.000 1.759 18.280
Tl 1.523 0.879 9.140
Cr 0.000 0.000 13.710
Cr 0.000 1.759 4.570
Cr 1.523 0.879 22.850
```

Summary:
For the formation energy, the calculation gives 0.30 eV/atom. As for the polymorph energy (0 for the lowest one): 135 meV/atom. Its space group is No. 166.

---

Si2NiP: relaxed, PBE.

The structure in extended XYZ format:
```
8
Lattice="4.848 0.000 0.000 0.000 8.685 0.000 -2.399 0.000 2.580" Properties=species:S:1:pos:R:3 pbc="T T T"
Si 1.212 2.171 0.000
Si 1.212 6.514 0.000
Si 3.636 2.171 0.000
Si 3.636 6.514 0.000
Ni -1.200 0.000 1.290
Ni 1.224 4.342 1.290
P -1.200 4.342 1.290
P 1.224 0.000 1.290
```

Summary:
The calculation puts the uncorrected formation energy at 0.076 eV per atom. Its space group is No. 12.

---

So what do the calculations give for size of the total moment? Going down the list: 0.00, 0.00, 0.00, 0.00, 1.70, 0.00, 0.00, 0.00, 0.00, 3.71, 0.00, 4.54, 0.00, 17.02, 0.00, 0.00, 1.05, 2.02, 0.00 μB per formula unit.
So what do the calculations give for uncorrected energy? Going down the list: -4.491, -5.675, -5.204, -3.510, -4.489, -6.464, -4.234, -3.930, -8.006, -5.803, -2.006, -5.570, -3.991, -6.789, -6.149, -5.333, -3.916, -4.569, -5.433 eV per atom.